[1]
! Ti2NbHg (GGA-PBE, relaxed); values from VASP
&SYSTEM
  ibrav = 0, nat = 4, ntyp = 3
/
ATOMIC_SPECIES
Hg 200.59 Hg.upf
Nb 92.91 Nb.upf
Ti 47.87 Ti.upf
ATOMIC_POSITIONS crystal
Hg 0.500 0.500 0.501
Nb 0.667 0.667 0.999
Ti 0.080 0.080 0.760
Ti 0.253 0.253 0.240
CELL_PARAMETERS angstrom
-0.537 -2.541 1.597
-0.894 -2.539 -1.430
8.462 -4.246 -1.003
! ρ   8.58 g/cm3
! Calculated formation energy   0.4 eV per formula unit



[2]
! Pm3ZnSi2Pd9 (GGA-PBE, relaxed); values from VASP
&SYSTEM
  ibrav = 0, nat = 15, ntyp = 4
/
ATOMIC_SPECIES
Pd 106.42 Pd.upf
Pm 145.00 Pm.upf
Si 28.09 Si.upf
Zn 65.41 Zn.upf
ATOMIC_POSITIONS crystal
Pd 0.837 0.674 0.687
Pd 0.674 0.837 0.313
Pd 0.163 0.326 0.313
Pd 0.326 0.163 0.687
Pd 0.163 0.837 0.313
Pd 0.837 0.163 0.687
Pd 0.500 0.500 0.000
Pd 0.500 0.000 0.000
Pd 0.000 0.500 0.000
Pm 0.333 0.667 0.602
Pm 0.667 0.333 0.398
Pm 0.000 0.000 0.000
Si 0.667 0.333 0.839
Si 0.333 0.667 0.161
Zn 0.000 0.000 0.500
CELL_PARAMETERS angstrom
-1.369 -3.012 4.747
2.316 -2.693 -4.568
9.545 1.705 3.833
! ρ   8.32 g/cm3
! E_form (uncorrected)   -0.64 eV per atom



[3]
! Ac8SiPd3I4 (GGA-PBE, relaxed); values from VASP
&SYSTEM
  ibrav = 0, nat = 16, ntyp = 4
/
ATOMIC_SPECIES
Ac 227.00 Ac.upf
Pd 106.42 Pd.upf
I 126.90 I.upf
Si 28.09 Si.upf
ATOMIC_POSITIONS crystal
Ac 0.730 0.690 0.460
Ac 0.767 0.307 0.533
Ac 0.726 0.692 0.959
Ac 0.270 0.310 0.540
Ac 0.767 0.308 0.041
Ac 0.274 0.308 0.041
Ac 0.233 0.693 0.467
Ac 0.233 0.692 0.959
Pd 0.000 0.500 0.500
Pd 0.500 0.500 0.000
Pd 0.500 0.500 0.500
I 0.500 0.000 0.000
I 0.000 0.000 0.500
I 0.500 0.000 0.500
I 0.000 0.000 0.000
Si 0.000 0.500 0.000
CELL_PARAMETERS angstrom
9.061 0.000 0.000
0.000 9.939 0.630
-4.531 -4.537 6.403
! ρ   7.36 g/cm3
! E_form (uncorrected)   -0.91 eV per atom



[4]
! Pm12Sm2In (GGA-PBE, relaxed); values from VASP
&SYSTEM
  ibrav = 0, nat = 30, ntyp = 3
/
ATOMIC_SPECIES
Pm 145.00 Pm.upf
In 114.82 In.upf
Sm 150.36 Sm.upf
ATOMIC_POSITIONS crystal
Pm 0.246 0.746 0.092
Pm 0.500 0.500 0.800
Pm 0.834 0.666 0.435
Pm 0.254 0.246 0.092
Pm 0.754 0.254 0.092
Pm 0.334 0.166 0.565
Pm 0.746 0.246 0.908
Pm 0.000 0.000 0.200
Pm 0.000 0.000 0.328
Pm 0.666 0.166 0.435
Pm 0.246 0.254 0.908
Pm 0.834 0.334 0.565
Pm 0.254 0.754 0.908
Pm 0.666 0.834 0.565
Pm 0.000 0.000 0.800
Pm 0.500 0.500 0.200
Pm 0.500 0.500 0.672
Pm 0.754 0.746 0.908
Pm 0.500 0.500 0.328
Pm 0.746 0.754 0.092
Pm 0.166 0.334 0.435
Pm 0.334 0.834 0.435
Pm 0.000 0.000 0.672
Pm 0.166 0.666 0.565
In 0.500 0.000 0.000
In 0.000 0.500 0.000
Sm 0.000 0.500 0.248
Sm 0.500 0.000 0.248
Sm 0.500 0.000 0.752
Sm 0.000 0.500 0.752
CELL_PARAMETERS angstrom
6.711 0.000 0.000
0.000 6.711 0.000
0.000 0.000 23.741
! ρ   6.70 g/cm3
! Calculated formation energy   3.3 eV per formula unit



[5]
! TiAlBP2 (GGA-PBE, relaxed); values from VASP
&SYSTEM
  ibrav = 0, nat = 5, ntyp = 4
/
ATOMIC_SPECIES
Al 26.98 Al.upf
P 30.97 P.upf
Ti 47.87 Ti.upf
B 10.81 B.upf
ATOMIC_POSITIONS crystal
Al 0.000 0.000 0.000
P 0.500 0.000 0.000
P 0.000 0.000 0.500
Ti 0.500 0.500 0.500
B 0.000 0.500 0.000
CELL_PARAMETERS angstrom
-3.181 3.241 1.152
-2.597 -2.802 0.711
1.423 -0.188 4.460
! ρ   2.87 g/cm3
! Calculated formation energy   4.3 eV per formula unit